This record from Alexandria describes a geometry-optimized CsK2V2O7 structure. The functional is PBE with a Hubbard U.

a b c (Å): 6.7743 6.7743 24.1523
angles (deg): 90.00 90.00 120.00
Space group R32 (No. 155, hexagonal axes)
One atom of each set of equivalent atoms:
Cs  0.0000  0.0000  0.0000 [3 per cell]
K  0.0000  0.0000  0.2818 [6 per cell]
V  0.0000  0.0000  0.4250 [6 per cell]
O  0.0000  0.0000  0.5000 [3 per cell]
O  0.0023  0.2368  0.3984 [18 per cell]

raw total energy = -222.681 eV per cell
DOS at the Fermi energy = 10.42 states/eV/f.u.